[1]
# BaMgCr3

Crystalline BaMgCr3 at its relaxed geometry (PBE, Alexandria).

Values from the calculation:
Symmetry = Pm-3m (221)
Excess energy over the best structure of this formula in the dataset = 0.936 eV/atom
Formation enthalpy at 0 K = 2172 meV/atom

abc: 5.207 5.207 5.207
angles: 90.00 90.00 90.00
Last column: magnetic moment on the atom in μB.
Fractional positions:
Cr: 0.000 0.500 0.000  3.59
Cr: 0.500 0.000 0.000  3.75
Cr: 0.000 0.000 0.500  3.26
Mg: 0.500 0.500 0.500  -0.03
Ba: 0.000 0.000 0.000  0.02

---

[2]
# BaMg14Cr

Crystalline BaMg14Cr at its relaxed geometry (PBE, Alexandria).

Values from the calculation:
Symmetry = Amm2 (38)
Excess energy over the best structure of this formula in the dataset = 0.000 eV/atom
Formation enthalpy at 0 K = 139 meV/atom

abc: 6.667 6.667 10.568
angles: 90.00 90.00 123.02
Last column: magnetic moment on the atom in μB.
Fractional positions:
Mg: 0.669 0.821 0.757  -0.01
Mg: 0.179 0.331 0.757  -0.01
Mg: 0.316 0.187 0.500  -0.01
Mg: 0.179 0.331 0.243  -0.01
Mg: 0.179 0.821 0.730  0.00
Mg: 0.813 0.684 0.500  -0.01
Mg: 0.179 0.821 0.270  0.00
Mg: 0.663 0.337 0.770  0.00
Mg: 0.840 0.675 0.000  0.00
Mg: 0.669 0.821 0.243  -0.01
Mg: 0.663 0.337 0.230  0.00
Mg: 0.835 0.165 0.000  0.00
Mg: 0.325 0.160 0.000  0.00
Mg: 0.332 0.668 0.000  0.00
Ba: 0.812 0.188 0.500  -0.03
Cr: 0.345 0.655 0.500  3.72

---

[3]
# BaMgCr3

Crystalline BaMgCr3 at its relaxed geometry (PBE, Alexandria).

Values from the calculation:
Symmetry = Pm-3m (221)
Excess energy over the best structure of this formula in the dataset = 0.000 eV/atom
Formation enthalpy at 0 K = 1236 meV/atom

abc: 5.320 5.320 5.320
angles: 90.00 90.00 90.00
Last column: magnetic moment on the atom in μB.
Fractional positions:
Mg: 0.000 0.000 0.000  -0.02
Cr: 0.000 0.500 0.000  4.04
Cr: 0.000 0.000 0.500  4.03
Cr: 0.500 0.000 0.000  3.83
Ba: 0.500 0.500 0.500  0.08

---

[4]
# BaMg4Cr

Crystalline BaMg4Cr at its relaxed geometry (PBE, Alexandria).

Values from the calculation:
Symmetry = F-43m (216)
Formation enthalpy at 0 K = 248 meV/atom

abc: 6.119 6.119 6.119
angles: 60.00 60.00 60.00
Last column: magnetic moment on the atom in μB.
Fractional positions:
Cr: 0.000 0.000 0.000  3.90
Mg: 0.879 0.374 0.374  -0.02
Mg: 0.374 0.374 0.879  -0.02
Mg: 0.374 0.374 0.374  -0.02
Mg: 0.374 0.879 0.374  -0.02
Ba: 0.750 0.750 0.750  -0.04

---

[5]
# BaMg14Cr

Crystalline BaMg14Cr at its relaxed geometry (PBE, Alexandria).

Values from the calculation:
Symmetry = P-6m2 (187)
Excess energy over the best structure of this formula in the dataset = 0.006 eV/atom
Formation enthalpy at 0 K = 145 meV/atom

abc: 6.579 6.579 10.542
angles: 90.00 90.00 120.00
Last column: magnetic moment on the atom in μB.
Fractional positions:
Mg: 0.492 0.984 0.000  -0.01
Mg: 0.168 0.336 0.730  -0.01
Mg: 0.168 0.336 0.270  -0.01
Mg: 0.664 0.832 0.270  -0.01
Mg: 0.168 0.832 0.270  -0.01
Mg: 0.168 0.832 0.730  -0.01
Mg: 0.992 0.496 0.500  -0.01
Mg: 0.667 0.333 0.238  0.01
Mg: 0.492 0.508 0.000  -0.01
Mg: 0.504 0.496 0.500  -0.01
Mg: 0.664 0.832 0.730  -0.01
Mg: 0.504 0.008 0.500  -0.01
Mg: 0.667 0.333 0.762  0.01
Mg: 0.016 0.508 0.000  -0.01
Cr: 0.000 0.000 0.500  3.79
Ba: 0.000 0.000 0.000  -0.06

---

[6]
# BaMg2CrN4

Crystalline BaMg2CrN4 at its relaxed geometry (PBE, Alexandria).

Values from the calculation:
Symmetry = Pmn2_1 (31)
Formation energy without anion corrections = -0.696 eV per atom

abc: 5.616 5.641 7.425
angles: 90.00 90.00 90.00
Fractional positions:
Mg: 0.999 0.662 0.760
Mg: 0.499 0.338 0.740
Mg: 0.499 0.338 0.260
Mg: 0.999 0.662 0.240
N: 0.985 0.890 0.000
N: 0.357 0.672 0.314
N: 0.808 0.714 0.500
N: 0.857 0.328 0.186
N: 0.357 0.672 0.686
N: 0.857 0.328 0.814
N: 0.485 0.110 0.500
N: 0.308 0.286 0.000
Cr: 0.002 0.208 0.000
Cr: 0.502 0.792 0.500
Ba: 0.992 0.155 0.500
Ba: 0.492 0.845 0.000